Entry 1:
VASP calculation (PBE) on an optimized crystal structure of ErInFeNi.

Lattice parameters (Å, degrees): 4.9552 4.0253 7.1567 90.00 90.00 90.00
With the nearest neighbours (Å) after each atom.
Space group Pmma (No. 51)
Unique sites:
1 Er 0.2500 0.0000 0.2217 (multiplicity 2)  3 Ni 2.76
2 In 0.2500 0.5000 0.8585 (multiplicity 2)  2 Ni 2.70, 2 Fe 2.85
3 Fe 0.0000 0.5000 0.5000 (multiplicity 2)  2 Fe 2.48, 4 Ni 2.48
4 Ni 0.2500 0.0000 0.6068 (multiplicity 2)  4 Fe 2.48, 2 In 2.70, 3 Er 2.76

Crystal system: orthorhombic
Electronic total energy in eV for the cell shown: -45.04


Entry 2:
VASP calculation (PBE) on an optimized crystal structure of SmTlPt4.

Lattice parameters (Å, degrees): 7.7110 7.7110 7.7110 90.00 90.00 90.00
With the nearest neighbours (Å) after each atom.
Space group F-43m (No. 216)
Unique sites:
1 Sm 0.0000 0.0000 0.0000 (multiplicity 4)  12 Pt 3.20, 4 Tl 3.34
2 Tl 0.2500 0.2500 0.2500 (multiplicity 4)  12 Pt 3.20, 4 Sm 3.34
3 Pt 0.1247 0.1247 0.6247 (multiplicity 16)  6 Pt 2.72-2.73

Crystal system: cubic
Electronic total energy in eV for the cell shown: -142.59